Material: GdTlZnSe3
Method: DFT, PBE-GGA
State: relaxed

```
GdTlZnSe3
1.0
10.158 0.000 0.000
0.000 4.184 0.000
0.000 0.000 15.635
Gd Tl Zn Se
4 4 4 12
Cartesian
1.802 1.046 0.861
3.277 3.138 8.678
6.880 1.046 6.957
8.356 3.138 14.774
0.148 3.138 4.971
4.931 1.046 12.788
5.227 3.138 2.847
10.010 1.046 10.664
1.731 3.138 13.554
3.348 1.046 5.737
6.809 3.138 9.898
8.427 1.046 2.080
0.207 1.046 13.991
1.713 1.046 7.540
2.244 3.138 11.222
2.835 1.046 3.405
3.366 3.138 15.358
4.872 3.138 6.174
5.286 1.046 9.461
6.792 1.046 0.277
7.323 3.138 12.230
7.913 1.046 4.413
8.444 3.138 8.095
9.951 3.138 1.644
```

Computed properties:
Relative energy among the computed polymorphs   77 meV per atom
Volume   27.7 Å³/atom
Space-group type   Pnma, No. 62